Record 1
The following is a DFT calculation (GGA-PBE) of an optimized crystal structure of Nd5GaCu2.

Results
Calculated formation energy ... -0.20 eV per atom
Calculated density ... 7.033 g cm⁻³
Total magnetization ... 0.0 μB/cell

Lattice parameters (Å, degrees): 7.414 7.414 15.770 90.00 90.00 90.00
Space group I4/mcm (No. 140)
Symmetry-distinct sites (fractional):
Nd (0.000, 0.000, 0.000)
Nd (0.168, 0.332, 0.149)
Ga (0.000, 0.000, 0.250)
Cu (0.119, 0.381, 0.500)

---

Record 2
The following is a DFT calculation (GGA-PBE) of an optimized crystal structure of Nd3Ga3Cu2.

Results
Calculated formation energy ... -0.49 eV per atom
Calculated density ... 7.242 g cm⁻³
Total magnetization ... 0.0 μB/cell

Lattice parameters (Å, degrees): 4.472 10.489 15.038 90.00 90.00 90.00
Space group Cmcm (No. 63)
Symmetry-distinct sites (fractional):
Nd (0.000, 0.107, 0.106)
Nd (0.000, 0.388, 0.250)
Ga (0.000, 0.320, 0.750)
Ga (0.000, 0.389, 0.040)
Cu (0.000, 0.195, 0.599)

---

Record 3
The following is a DFT calculation (GGA-PBE) of an optimized crystal structure of NdGa2Cu4.

Results
Calculated formation energy ... -0.26 eV per atom
Calculated density ... 7.708 g cm⁻³
Total magnetization ... 0.0 μB/cell

Lattice parameters (Å, degrees): 4.1582 4.1582 23.2157 90.00 90.00 120.00
Space group R-3m (No. 166, hexagonal axes)
Symmetry-distinct sites (fractional):
Nd (0.0000, 0.0000, 0.0000)
Ga (0.0000, 0.0000, 0.2501)
Cu (0.0000, 0.0000, 0.1425)
Cu (0.0000, 0.0000, 0.4440)

---

Record 4
The following is a DFT calculation (GGA-PBE) of an optimized crystal structure of Nd2Ga3Cu.

Results
Offset from the most stable computed form ... 4 meV per atom
Calculated formation energy ... -0.57 eV per atom
Calculated density ... 7.133 g cm⁻³
Total magnetization ... 0.0 μB/cell

Lattice parameters (Å, degrees): 3.824 4.441 7.693 90.00 90.00 90.00
Space group Pmm2 (No. 25)
Symmetry-distinct sites (fractional):
Nd (0.000, 0.000, 0.000)
Nd (0.000, 0.500, 0.495)
Ga (0.500, 0.000, 0.655)
Ga (0.500, 0.500, 0.173)
Ga (0.500, 0.500, 0.833)
Cu (0.500, 0.000, 0.328)

---

Record 5
The following is a DFT calculation (GGA-PBE) of an optimized crystal structure of NdGa11Cu.

Results
Calculated formation energy ... -0.13 eV per atom
Calculated density ... 6.614 g cm⁻³
Total magnetization ... 0.0 μB/cell

Lattice parameters (Å, degrees): 5.279 12.210 8.021 90.00 108.78 90.00
Space group C2/m (No. 12)
Symmetry-distinct sites (fractional):
Nd (0.000, 0.000, 0.000)
Ga (0.000, 0.000, 0.500)
Ga (0.111, 0.391, 0.227)
Ga (0.200, 0.176, 0.362)
Ga (0.250, 0.250, 0.000)
Cu (0.000, 0.500, 0.500)

---

Record 6
The following is a DFT calculation (GGA-PBE) of an optimized crystal structure of NdGa3Cu8.

Results
Calculated formation energy ... -0.09 eV per atom
Calculated density ... 8.018 g cm⁻³
Total magnetization ... 0.0 μB/cell

Lattice parameters (Å, degrees): 4.9543 4.9543 8.3964 90.00 90.00 120.00
Space group P3m1 (No. 156)
Symmetry-distinct sites (fractional):
Nd (0.0000, 0.0000, 0.0000)
Ga (0.0000, 0.0000, 0.3809)
Ga (0.6667, 0.3333, 0.4859)
Ga (0.6667, 0.3333, 0.8294)
Cu (0.1647, 0.3294, 0.6734)
Cu (0.3333, 0.6667, 0.4349)
Cu (0.3333, 0.6667, 0.9238)
Cu (0.5018, 0.0036, 0.1985)

---

Record 7
The following is a DFT calculation (GGA-PBE) of an optimized crystal structure of Nd5Ga4Cu.

Results
Calculated formation energy ... -0.47 eV per atom
Calculated density ... 7.085 g cm⁻³
Total magnetization ... 0.0 μB/cell

Lattice parameters (Å, degrees): 3.628 3.628 18.934 90.00 90.00 90.00
Space group P4/mmm (No. 123)
Symmetry-distinct sites (fractional):
Nd (0.000, 0.000, 0.000)
Nd (0.000, 0.000, 0.202)
Nd (0.000, 0.000, 0.403)
Ga (0.500, 0.500, 0.101)
Ga (0.500, 0.500, 0.305)
Cu (0.500, 0.500, 0.500)

---

Record 8
The following is a DFT calculation (GGA-PBE) of an optimized crystal structure of Nd2Ga6Cu.

Results
Offset from the most stable computed form ... 0 meV per atom
Calculated formation energy ... -0.50 eV per atom
Calculated density ... 7.264 g cm⁻³
Total magnetization ... 0.0 μB/cell

Lattice parameters (Å, degrees): 10.353 5.978 5.691 90.00 90.00 90.00
Space group C2/m (No. 12)
Symmetry-distinct sites (fractional):
Nd (0.167, 0.000, 0.346)
Ga (0.088, 0.240, 0.824)
Ga (0.173, 0.500, 0.179)
Cu (0.000, 0.500, 0.500)

---

Record 9
The following is a DFT calculation (GGA-PBE) of an optimized crystal structure of NdGa3Cu2.

Results
Calculated formation energy ... -0.36 eV per atom
Calculated density ... 7.525 g cm⁻³
Total magnetization ... 0.0 μB/cell

Lattice parameters (Å, degrees): 10.194 8.109 5.131 90.00 90.00 90.00
Space group Cmcm (No. 63)
Symmetry-distinct sites (fractional):
Nd (0.000, 0.172, 0.250)
Ga (0.000, 0.439, 0.750)
Ga (0.184, 0.220, 0.750)
Cu (0.212, 0.500, 0.000)

---

Record 10
The following is a DFT calculation (GGA-PBE) of an optimized crystal structure of Nd2GaCu3.

Results
Offset from the most stable computed form ... 13 meV per atom
Calculated formation energy ... -0.30 eV per atom
Calculated density ... 7.239 g cm⁻³
Total magnetization ... 0.0 μB/cell

Lattice parameters (Å, degrees): 3.964 4.150 15.309 90.00 90.00 90.00
Space group Imm2 (No. 44)
Symmetry-distinct sites (fractional):
Nd (0.000, 0.000, 0.000)
Nd (0.000, 0.500, 0.257)
Ga (0.000, 0.000, 0.590)
Cu (0.000, 0.000, 0.425)
Cu (0.000, 0.500, 0.673)
Cu (0.000, 0.500, 0.834)